Sr3TiNb2O9 PBE optimized geometry; space-group type = P-3m1 (164); total magnetization = 0.00 μB/f.u.; E_form (uncorrected) = -2.899 eV/atom; density of states at the Fermi level = 0.28 states/eV/atom; energy = -121.2 eV/cell
1.0
5.716 0.000 0.000
-2.858 4.950 0.000
0.000 0.000 7.008
Sr O Nb Ti
3 9 2 1
Cartesian
2.858 1.650 2.374 Sr
0.000 0.000 0.000 Sr
0.000 3.300 4.634 Sr
1.429 2.475 0.000 O
1.445 4.134 2.356 O
-1.429 2.475 0.000 O
4.302 0.816 4.652 O
2.858 3.318 4.652 O
2.858 0.000 0.000 O
1.413 0.816 4.652 O
0.000 1.632 2.356 O
-1.445 4.134 2.356 O
0.000 3.300 1.206 Nb
2.858 1.650 5.801 Nb
0.000 0.000 3.504 Ti